# 1
{"formula": "Cs2CrI5", "functional": "GGA-PBE", "state": "optimized geometry", "lattice_angstrom": [[10.454, 0.000, 0.000], [0.000, 8.107, 0.000], [0.000, 0.000, 16.995]], "species": ["Cs", "Cs", "Cs", "Cs", "Cs", "Cs", "Cs", "Cs", "Cr", "Cr", "Cr", "Cr", "I", "I", "I", "I", "I", "I", "I", "I", "I", "I", "I", "I", "I", "I", "I", "I", "I", "I", "I", "I"], "fractional_positions": [[0.032, 0.250, 0.200], [0.180, 0.750, 0.417], [0.320, 0.250, 0.917], [0.468, 0.750, 0.700], [0.532, 0.250, 0.300], [0.680, 0.750, 0.083], [0.820, 0.250, 0.583], [0.968, 0.750, 0.800], [0.176, 0.750, 0.061], [0.324, 0.250, 0.561], [0.676, 0.750, 0.439], [0.824, 0.250, 0.939], [0.000, 0.000, 0.000], [0.000, 0.500, 0.000], [0.036, 0.750, 0.197], [0.168, 0.010, 0.615], [0.168, 0.490, 0.615], [0.204, 0.250, 0.415], [0.296, 0.750, 0.915], [0.332, 0.510, 0.115], [0.332, 0.990, 0.115], [0.464, 0.250, 0.697], [0.500, 0.000, 0.500], [0.500, 0.500, 0.500], [0.536, 0.750, 0.303], [0.668, 0.010, 0.885], [0.668, 0.490, 0.885], [0.704, 0.250, 0.085], [0.796, 0.750, 0.585], [0.832, 0.510, 0.385], [0.832, 0.990, 0.385], [0.964, 0.250, 0.803]], "e_above_lowest_polymorph_mev_per_atom": 3.0, "e_form_raw_mev_per_atom": -950.2}


# 2
{"formula": "PuZrHg", "functional": "GGA-PBE", "state": "optimized geometry", "lattice_angstrom": [[5.141, 0.000, 0.000], [-2.571, 4.453, 0.000], [0.000, 0.000, 3.186]], "species": ["Pu", "Zr", "Hg"], "fractional_positions": [[0.000, 0.000, 0.000], [0.667, 0.333, 0.499], [0.333, 0.667, 0.502]], "delta_e_f_ev_per_atom": 0.097, "e_above_lowest_polymorph_mev_per_atom": 131.8}


# 3
{"formula": "Ca2TaTlS", "functional": "GGA-PBE", "state": "optimized geometry", "lattice_angstrom": [[5.824, 0.000, 0.000], [0.000, 5.824, 0.000], [0.000, 0.000, 5.323]], "species": ["Ca", "Ca", "Ta", "Tl", "S"], "fractional_positions": [[0.000, 0.500, 0.000], [0.500, 0.000, 0.000], [0.000, 0.000, 0.000], [0.000, 0.000, 0.500], [0.500, 0.500, 0.500]], "e_form_raw_mev_per_atom": 858.7}


# 4
{"formula": "MgOF", "functional": "GGA-PBE", "state": "optimized geometry", "lattice_angstrom": [[2.465, -2.567, 0.000], [2.465, 2.567, 0.000], [-0.820, 0.000, 5.069]], "species": ["Mg", "Mg", "O", "O", "F", "F"], "fractional_positions": [[0.000, 0.000, 0.000], [0.537, 0.463, 0.500], [0.039, 0.722, 0.384], [0.278, 0.961, 0.616], [0.516, 0.148, 0.151], [0.852, 0.484, 0.849]], "e_form_raw_mev_per_atom": -2457.8}


# 5
{"formula": "GaNiTe", "functional": "GGA-PBE", "state": "optimized geometry", "lattice_angstrom": [[3.495, -2.022, 0.000], [3.495, 2.022, 0.000], [-2.346, 0.000, 8.540]], "species": ["Ga", "Ga", "Ni", "Ni", "Te", "Te"], "fractional_positions": [[0.198, 0.198, 0.091], [0.802, 0.802, 0.909], [0.101, 0.101, 0.805], [0.899, 0.899, 0.195], [0.393, 0.393, 0.678], [0.607, 0.607, 0.322]], "e_above_lowest_polymorph_mev_per_atom": 0.0, "e_form_raw_mev_per_atom": -307.0}


# 6
{"formula": "Sc5Pd4Pb", "functional": "GGA-PBE", "state": "optimized geometry", "lattice_angstrom": [[3.293, 0.000, 0.000], [0.000, 3.293, 0.000], [0.000, 0.000, 17.902]], "species": ["Sc", "Sc", "Sc", "Sc", "Sc", "Pd", "Pd", "Pd", "Pd", "Pb"], "fractional_positions": [[0.000, 0.000, 0.000], [0.000, 0.000, 0.188], [0.000, 0.000, 0.375], [0.000, 0.000, 0.625], [0.000, 0.000, 0.812], [0.500, 0.500, 0.093], [0.500, 0.500, 0.280], [0.500, 0.500, 0.720], [0.500, 0.500, 0.907], [0.500, 0.500, 0.500]], "delta_e_f_ev_per_atom": -0.774}